Entry 1:
# MnRuPt2

MnRuPt2 at its PBEsol-relaxed geometry (meta-GGA SCAN, Alexandria via LeMat-Bulk).

Calculated values
Spin magnetization in μB/f.u.: 2.708
Density of states at the Fermi level in states/eV/cell: 3.869

The structure in CIF format:
```
data_MnRuPt2
_symmetry_space_group_name_H-M 'P 1'
_symmetry_Int_Tables_number 1
_cell_length_a 3.8105
_cell_length_b 3.8105
_cell_length_c 4.6620
_cell_angle_alpha 114.12
_cell_angle_beta 114.12
_cell_angle_gamma 90.00
loop_
_symmetry_equiv_pos_as_xyz
'x,y,z'
loop_
_atom_site_label
_atom_site_type_symbol
_atom_site_fract_x
_atom_site_fract_y
_atom_site_fract_z
_atom_site_occupancy
Mn1 Mn 0.2500 0.7500 0.5000 1
Pt1 Pt 0.0000 0.0000 0.0000 1
Pt2 Pt 0.7500 0.2500 0.5000 1
Ru1 Ru 0.5000 0.5000 0.0000 1
```


Entry 2:
# MnRuPt2

MnRuPt2 at its PBEsol-relaxed geometry (meta-GGA SCAN, Alexandria via LeMat-Bulk).

Calculated values
Spin magnetization in μB/f.u.: 2.242
Density of states at the Fermi level in states/eV/cell: 3.732

The structure in CIF format:
```
data_MnRuPt2
_symmetry_space_group_name_H-M 'P 1'
_symmetry_Int_Tables_number 1
_cell_length_a 2.7104
_cell_length_b 3.7438
_cell_length_c 5.4625
_cell_angle_alpha 90.00
_cell_angle_beta 90.00
_cell_angle_gamma 90.00
loop_
_symmetry_equiv_pos_as_xyz
'x,y,z'
loop_
_atom_site_label
_atom_site_type_symbol
_atom_site_fract_x
_atom_site_fract_y
_atom_site_fract_z
_atom_site_occupancy
Pt1 Pt 0.0000 0.0000 0.9888 1
Pt2 Pt 0.5000 0.5000 0.2620 1
Ru1 Ru 0.0000 0.0000 0.5084 1
Mn1 Mn 0.5000 0.5000 0.7407 1
```


Entry 3:
# MnRuPt4

MnRuPt4 at its PBEsol-relaxed geometry (meta-GGA SCAN, Alexandria via LeMat-Bulk).

Calculated values
Spin magnetization in μB/f.u.: 7.578
Density of states at the Fermi level in states/eV/cell: 4.741

The structure in CIF format:
```
data_MnRuPt4
_symmetry_space_group_name_H-M 'P 1'
_symmetry_Int_Tables_number 1
_cell_length_a 5.1382
_cell_length_b 5.1382
_cell_length_c 5.1382
_cell_angle_alpha 60.00
_cell_angle_beta 60.00
_cell_angle_gamma 60.00
loop_
_symmetry_equiv_pos_as_xyz
'x,y,z'
loop_
_atom_site_label
_atom_site_type_symbol
_atom_site_fract_x
_atom_site_fract_y
_atom_site_fract_z
_atom_site_occupancy
Pt1 Pt 0.8748 0.3751 0.3751 1
Pt2 Pt 0.3751 0.8748 0.3751 1
Pt3 Pt 0.3751 0.3751 0.8748 1
Pt4 Pt 0.3751 0.3751 0.3751 1
Mn1 Mn 0.0000 0.0000 0.0000 1
Ru1 Ru 0.7500 0.7500 0.7500 1
```


The calculation returns the following calculated total energy values, one per record and in order: -48.6745, -48.6256, -55.5783 eV per atom.
The calculation returns the following formation enthalpy at 0 K values, one per record and in order: -0.31, -0.26, 0.06 eV/atom.